Hf3VRu4 | the Alexandria database | PBE | relaxed; D(E_F) = 5.4 states/eV per cell; magnetization = 0.4 μB per cell; energy relative to the elements = -0.62 eV per atom; space group = P4/mmm, No. 123; energy = -10.13 eV per atom
1.0
3.1963 0.0000 0.0000
0.0000 3.1963 0.0000
0.0000 0.0000 12.7009
Hf V Ru
3 1 4
Cartesian
0.0000 0.0000 0.0000
0.0000 0.0000 3.2782
0.0000 0.0000 9.4227
0.0000 0.0000 6.3504
1.5981 1.5981 1.6339
1.5981 1.5981 4.9096
1.5981 1.5981 7.7913
1.5981 1.5981 11.0670